## K4Np3Te8Au (PBE-GGA)

Data for a relaxed structure of K4Np3Te8Au.

Lattice parameters (Å, degrees): 16.030 8.838 9.749 90.00 122.94 90.00
Space group C2/m (No. 12)
Unique sites:
1 K 0.000 0.000 0.000 [2 per cell]
2 K 0.000 0.500 0.000 [2 per cell]
3 K 0.250 0.250 0.000 [4 per cell]
4 Np 0.000 0.000 0.500 [2 per cell]
5 Np 0.250 0.250 0.500 [4 per cell]
6 Te 0.017 0.264 0.306 [8 per cell]
7 Te 0.234 0.000 0.710 [4 per cell]
8 Te 0.248 0.000 0.282 [4 per cell]
9 Au 0.000 0.500 0.500 [2 per cell]

E_form (uncorrected) = -0.747 eV per atom
VASP energy = -83.576 eV/f.u.



## K3Np3Te8Au (PBE-GGA)

Data for a relaxed structure of K3Np3Te8Au.

Lattice parameters (Å, degrees): 14.957 9.126 9.554 90.00 119.72 90.00
Space group C2/m (No. 12)
Unique sites:
1 K 0.000 0.000 0.000 [2 per cell]
2 K 0.250 0.250 0.000 [4 per cell]
3 Np 0.000 0.500 0.500 [2 per cell]
4 Np 0.250 0.250 0.500 [4 per cell]
5 Te 0.019 0.271 0.286 [8 per cell]
6 Te 0.209 0.000 0.686 [4 per cell]
7 Te 0.237 0.500 0.712 [4 per cell]
8 Au 0.000 0.000 0.500 [2 per cell]

E_form (uncorrected) = -0.679 eV per atom
VASP energy = -80.714 eV/f.u.



## K5AuO2 (PBE-GGA)

Data for a relaxed structure of K5AuO2.

Lattice parameters (Å, degrees): 5.415 13.350 13.625 90.00 90.00 90.00
Space group Cmcm (No. 63)
Unique sites:
1 K 0.000 0.043 0.107 [8 per cell]
2 K 0.000 0.189 0.750 [4 per cell]
3 K 0.000 0.324 0.029 [8 per cell]
4 Au 0.000 0.449 0.750 [4 per cell]
5 O 0.000 0.144 0.558 [8 per cell]

E_form (uncorrected) = -0.825 eV per atom
VASP energy = -25.281 eV/f.u.



## K6Au2O (PBE-GGA)

Data for a relaxed structure of K6Au2O.

Lattice parameters (Å, degrees): 7.651 8.320 13.161 90.00 124.34 90.00
Space group P2_1/c (No. 14)
Unique sites:
1 K 0.145 0.023 0.233 [4 per cell]
2 K 0.207 0.723 0.046 [4 per cell]
3 K 0.327 0.165 0.043 [4 per cell]
4 Au 0.282 0.083 0.750 [4 per cell]
5 O 0.000 0.000 0.000 [2 per cell]

E_form (uncorrected) = -0.501 eV per atom
VASP energy = -22.604 eV/f.u.



## K4AuO4 (PBE-GGA)

Data for a relaxed structure of K4AuO4.

Lattice parameters (Å, degrees): 8.136 8.136 5.392 90.00 90.00 90.00
Space group I4/m (No. 87)
Unique sites:
1 K 0.103 0.298 0.000 [8 per cell]
2 Au 0.000 0.000 0.500 [2 per cell]
3 O 0.075 0.237 0.500 [8 per cell]

E_form (uncorrected) = -0.985 eV per atom
VASP energy = -36.366 eV/f.u.



## K5Au2O (PBE-GGA)

Data for a relaxed structure of K5Au2O.

Lattice parameters (Å, degrees): 9.745 7.513 14.993 90.00 90.00 90.00
Space group Pnma (No. 62)
Unique sites:
1 K 0.000 0.000 0.000 [4 per cell]
2 K 0.045 0.250 0.202 [4 per cell]
3 K 0.161 0.000 0.608 [8 per cell]
4 K 0.230 0.750 0.392 [4 per cell]
5 Au 0.042 0.750 0.205 [4 per cell]
6 Au 0.193 0.250 0.410 [4 per cell]
7 O 0.181 0.250 0.057 [4 per cell]

polymorph energy (0 for the lowest one) = 0.0 kJ/mol of atoms
E_form (uncorrected) = -0.548 eV per atom
VASP energy = -21.384 eV/f.u.



## K8Au6O (PBE-GGA)

Data for a relaxed structure of K8Au6O.

Lattice parameters (Å, degrees): 10.0818 10.0818 18.2292 90.00 90.00 120.00
Space group R-3 (No. 148, hexagonal axes)
Unique sites:
1 K 0.0000 0.0000 0.1420 [6 per cell]
2 K 0.0060 0.7855 0.5826 [18 per cell]
3 Au 0.0212 0.5945 0.4317 [18 per cell]
4 O 0.0000 0.0000 0.5000 [3 per cell]

E_form (uncorrected) = -0.435 eV per atom
VASP energy = -39.932 eV/f.u.



## K9Au2O3 (PBE-GGA)

Data for a relaxed structure of K9Au2O3.

Lattice parameters (Å, degrees): 20.185 8.506 12.321 90.00 120.86 90.00
Space group C2/c (No. 15)
Unique sites:
1 K 0.000 0.120 0.250 [4 per cell]
2 K 0.066 0.443 0.436 [8 per cell]
3 K 0.132 0.125 0.013 [8 per cell]
4 K 0.174 0.239 0.737 [8 per cell]
5 K 0.250 0.071 0.472 [8 per cell]
6 Au 0.125 0.373 0.213 [8 per cell]
7 O 0.135 0.183 0.492 [8 per cell]
8 O 0.250 0.250 0.000 [4 per cell]

E_form (uncorrected) = -0.662 eV per atom
VASP energy = -40.582 eV/f.u.



## K4Au3O (PBE-GGA)

Data for a relaxed structure of K4Au3O.

Lattice parameters (Å, degrees): 9.057 9.057 5.722 90.00 90.00 90.00
Space group I-42m (No. 121)
Unique sites:
1 K 0.187 0.187 0.104 [8 per cell]
2 Au 0.000 0.000 0.500 [2 per cell]
3 Au 0.000 0.500 0.250 [4 per cell]
4 O 0.000 0.000 0.000 [2 per cell]

E_form (uncorrected) = -0.360 eV per atom
VASP energy = -22.058 eV/f.u.



## K5Au2O (PBE-GGA)

Data for a relaxed structure of K5Au2O.

Lattice parameters (Å, degrees): 6.051 15.440 14.889 90.00 90.00 90.00
Space group Cmcm (No. 63)
Unique sites:
1 K 0.000 0.055 0.130 [8 per cell]
2 K 0.000 0.288 0.120 [8 per cell]
3 K 0.000 0.303 0.750 [4 per cell]
4 Au 0.000 0.155 0.569 [8 per cell]
5 O 0.000 0.175 0.250 [4 per cell]

polymorph energy (0 for the lowest one) = 5.1 kJ/mol of atoms
E_form (uncorrected) = -0.495 eV per atom
VASP energy = -20.959 eV/f.u.



## K5AuO (PBE-GGA)

Data for a relaxed structure of K5AuO.

Lattice parameters (Å, degrees): 13.312 9.136 10.785 90.00 114.40 90.00
Space group C2/c (No. 15)
Unique sites:
1 K 0.000 0.060 0.250 [4 per cell]
2 K 0.026 0.282 0.974 [8 per cell]
3 K 0.217 0.035 0.616 [8 per cell]
4 Au 0.000 0.435 0.250 [4 per cell]
5 O 0.000 0.000 0.000 [4 per cell]

E_form (uncorrected) = -0.538 eV per atom
VASP energy = -17.486 eV/f.u.



## K7Au3O (PBE-GGA)

Data for a relaxed structure of K7Au3O.

Lattice parameters (Å, degrees): 15.357 10.514 10.654 90.00 90.00 90.00
Space group Cmcm (No. 63)
Unique sites:
1 K 0.000 0.069 0.250 [4 per cell]
2 K 0.120 0.175 0.538 [16 per cell]
3 K 0.132 0.479 0.250 [8 per cell]
4 Au 0.000 0.500 0.000 [4 per cell]
5 Au 0.220 0.199 0.250 [8 per cell]
6 O 0.000 0.000 0.000 [4 per cell]

E_form (uncorrected) = -0.441 eV per atom
VASP energy = -27.323 eV/f.u.



## K2AuO (PBE-GGA)

Data for a relaxed structure of K2AuO.

Lattice parameters (Å, degrees): 3.119 17.061 7.174 90.00 90.00 90.00
Space group Cmcm (No. 63)
Unique sites:
1 K 0.000 0.158 0.009 [8 per cell]
2 Au 0.000 0.496 0.250 [4 per cell]
3 O 0.000 0.271 0.750 [4 per cell]

E_form (uncorrected) = -0.531 eV per atom
VASP energy = -12.555 eV/f.u.



## KAuO2 (PBE-GGA)

Data for a relaxed structure of KAuO2.

Lattice parameters (Å, degrees): 6.115 6.115 6.115 90.00 90.00 90.00
Space group Fm-3m (No. 225)
Unique sites:
1 K 0.000 0.000 0.000 [4 per cell]
2 Au 0.000 0.000 0.500 [4 per cell]
3 O 0.250 0.250 0.250 [8 per cell]

E_form (uncorrected) = 0.144 eV per atom
VASP energy = -13.716 eV/f.u.



## K12Au6O (PBE-GGA)

Data for a relaxed structure of K12Au6O.

Lattice parameters (Å, degrees): 14.3300 14.3300 13.3143 90.00 90.00 120.00
Space group R-3 (No. 148, hexagonal axes)
Unique sites:
1 K 0.0333 0.8195 0.3964 [18 per cell]
2 K 0.0504 0.8733 0.8916 [18 per cell]
3 Au 0.0535 0.7740 0.6495 [18 per cell]
4 O 0.0000 0.0000 0.0000 [3 per cell]

E_form (uncorrected) = -0.341 eV per atom
VASP energy = -44.271 eV/f.u.



## K10Au4O (PBE-GGA)

Data for a relaxed structure of K10Au4O.

Lattice parameters (Å, degrees): 12.237 12.237 7.766 90.00 90.00 90.00
Space group I4/m (No. 87)
Unique sites:
1 K 0.000 0.500 0.250 [4 per cell]
2 K 0.091 0.179 0.224 [16 per cell]
3 Au 0.105 0.707 0.500 [8 per cell]
4 O 0.000 0.000 0.000 [2 per cell]

E_form (uncorrected) = -0.316 eV per atom
VASP energy = -33.785 eV/f.u.



## K2AuO (PBE-GGA)

Data for a relaxed structure of K2AuO.

Lattice parameters (Å, degrees): 10.915 10.915 4.431 90.00 90.00 90.00
Space group I-42d (No. 122)
Unique sites:
1 K 0.014 0.250 0.125 [8 per cell]
2 Au 0.000 0.000 0.500 [4 per cell]
3 O 0.000 0.000 0.000 [4 per cell]

E_form (uncorrected) = -0.568 eV per atom
VASP energy = -12.704 eV/f.u.